1.
PBE Zr3TlH, relaxed; calculated total energy = -6.185 eV/atom; total magnetization = 0.000 μB per atom; V = 191.97 Å³/cell
1.0
4.349 -2.511 0.000
0.000 5.022 0.000
0.000 0.000 8.788
H Tl Zr
2 2 6
direct
0.000 0.000 0.000
0.000 0.000 0.500
0.333 0.667 0.750
0.667 0.333 0.250
0.000 0.000 0.250
0.000 0.000 0.750
0.333 0.667 0.084
0.333 0.667 0.416
0.667 0.333 0.584
0.667 0.333 0.916

2.
PBE CsRb4Mn3Br12, relaxed; uncorrected formation energy = -1195 meV/atom; total magnetization = 0.700 μB per atom; V = 727.36 Å³/cell
1.0
9.813 0.000 0.000
-3.271 9.252 0.000
-3.271 -4.626 8.012
Cs Rb Mn Br
1 4 3 12
direct
0.000 0.000 0.000
0.500 0.500 0.500
0.000 0.000 0.500
0.500 0.000 0.000
0.000 0.500 0.000
0.500 0.000 0.500
0.500 0.500 0.000
0.000 0.500 0.500
0.250 0.500 0.750
0.715 0.000 0.715
0.285 0.000 0.285
0.750 0.500 0.250
0.715 0.715 0.000
0.285 0.285 0.000
0.750 0.250 0.500
0.250 0.750 0.500
0.500 0.250 0.750
0.000 0.715 0.715
0.500 0.750 0.250
0.000 0.285 0.285

3.
PBE LaNpCrC3, relaxed; total magnetization = 0.442 μB per atom; E_form = 0.120 eV per atom; V = 199.27 Å³/cell
1.0
3.576 0.000 0.000
0.000 7.400 0.753
0.000 -2.071 7.320
La Np Cr C
2 2 2 6
direct
0.750 0.827 0.806
0.250 0.173 0.194
0.250 0.643 0.172
0.750 0.357 0.828
0.250 0.095 0.594
0.750 0.905 0.406
0.250 0.843 0.475
0.750 0.876 0.161
0.750 0.432 0.123
0.750 0.157 0.525
0.250 0.568 0.877
0.250 0.124 0.839

4.
PBE FeIrIN2, relaxed; uncorrected formation energy = 1069 meV/atom; total magnetization = 0.701 μB per atom; energy relative to the lowest polymorph listed for this composition = 0.0000 eV per atom; V = 113.32 Å³/cell
1.0
-3.723 -0.130 -0.520
-0.064 -3.516 1.335
-1.133 2.833 7.405
I Ir Fe N
1 1 1 2
direct
0.000 0.000 0.500
0.000 0.000 0.000
0.500 0.500 0.500
0.000 0.500 0.000
0.500 0.000 0.000

5.
PBE MoIr2Os, relaxed; total magnetization = 0.000 μB per atom; energy relative to the lowest polymorph listed for this composition = 0.1061 eV per atom; E_form = -0.121 eV per atom; V = 58.81 Å³/cell
1.0
-1.396 5.237 2.852
-1.673 -4.181 1.601
1.212 0.443 2.420
Ir Mo Os
2 1 1
direct
0.000 0.000 0.000
0.500 0.000 0.500
0.000 0.500 0.500
0.500 0.500 0.000

6.
PBE Re5Sb3, relaxed; uncorrected formation energy = 659 meV/atom; total magnetization = 0.178 μB per atom; energy relative to the lowest polymorph listed for this composition = 0.0000 eV per atom; V = 135.93 Å³/cell
1.0
3.103 4.673 -0.086
-5.432 1.395 -0.170
-0.104 0.153 4.568
Re Sb
5 3
direct
0.000 0.000 0.000
0.000 0.500 0.000
0.500 0.000 0.000
0.237 0.237 0.500
0.763 0.763 0.500
0.500 0.500 0.000
0.752 0.248 0.500
0.248 0.752 0.500

7.
PBE LaY4In2, relaxed; total magnetization = 0.000 μB per atom; energy relative to the lowest polymorph listed for this composition = 0.6630 eV per atom; E_form = 0.466 eV per atom; V = 236.22 Å³/cell
1.0
-2.281 4.681 1.783
-4.727 -2.659 0.934
-1.158 -0.611 8.617
Y In La
4 2 1
direct
0.187 0.187 0.625
0.813 0.813 0.375
0.000 0.500 0.000
0.500 0.000 0.000
0.384 0.384 0.231
0.616 0.616 0.769
0.000 0.000 0.000

8.
PBE LiTiCSe2, relaxed; uncorrected formation energy = 524 meV/atom; total magnetization = 0.007 μB per atom; V = 75.13 Å³/cell
1.0
4.525 0.000 0.000
0.000 3.669 0.000
0.000 0.000 4.525
C Li Se Ti
1 1 2 1
direct
0.000 0.000 0.000
0.000 0.500 0.000
0.000 0.000 0.500
0.500 0.000 0.000
0.500 0.500 0.500

9.
PBE Co2CuPt9, relaxed; total magnetization = 0.515 μB per atom; E_form = -0.083 eV per atom; V = 177.35 Å³/cell
1.0
-0.869 1.163 -3.616
-3.796 -0.127 0.871
0.425 11.141 3.480
Co Cu Pt
2 1 9
direct
0.000 0.000 0.331
0.000 0.000 0.669
0.000 0.000 0.000
0.500 0.500 0.000
0.500 0.500 0.334
0.500 0.500 0.666
0.500 0.000 0.168
0.500 0.000 0.500
0.500 0.000 0.832
0.000 0.500 0.168
0.000 0.500 0.500
0.000 0.500 0.832

10.
PBE MnSiRh2, relaxed; uncorrected formation energy = -336 meV/atom; total magnetization = 0.927 μB per atom; V = 55.66 Å³/cell
1.0
-4.719 -6.254 -2.284
-3.027 -7.567 -0.425
-5.320 -6.169 0.486
Mn Rh Si
1 2 1
direct
0.750 0.750 0.750
0.993 0.993 0.993
0.507 0.507 0.507
0.250 0.250 0.250

11.
PBE ZrCo2Au2, relaxed; total magnetization = 0.331 μB per atom; energy relative to the lowest polymorph listed for this composition = 0.0000 eV per atom; E_form = -0.060 eV per atom; V = 159.75 Å³/cell
1.0
6.605 0.000 0.000
0.000 6.605 0.000
0.000 0.000 3.662
Co Au Zr
4 4 2
direct
0.376 0.876 0.000
0.876 0.624 0.000
0.624 0.124 0.000
0.124 0.376 0.000
0.170 0.670 0.500
0.670 0.830 0.500
0.830 0.330 0.500
0.330 0.170 0.500
0.000 0.000 0.000
0.500 0.500 0.000